1.
## ReHSN2 (PBE-GGA)

Data for a relaxed ReHSN2 crystal.

Cell: 3.867 3.867 2.903 Å, 90.00 90.00 90.00°
Element x y z (fractional)
1 Re 0.000 0.000 0.000
2 H 0.500 0.500 0.500
3 S 0.500 0.500 0.000
4 N 0.000 0.500 0.500
5 N 0.500 0.000 0.500

Output
**D(E_F)**: 0.661 states/eV per atom
**M_tot**: 0.5 μB/cell
**E**: -27.26 eV per cell

***

2.
## AcPmYTh (PBE-GGA)

Data for a relaxed AcPmYTh crystal.

Cell: 5.876 5.876 5.876 Å, 60.00 60.00 60.00°
Element x y z (fractional)
1 Ac 0.000 0.000 0.000
2 Pm 0.500 0.500 0.500
3 Y 0.250 0.250 0.250
4 Th 0.750 0.750 0.750

Output
**D(E_F)**: 2.832 states/eV per atom
**Energy relative to the elements**: 0.247 eV/atom
**M_tot**: 0.0 μB/cell
**E**: -21.76 eV per cell